No. 1
BiWO2 | PBE+U | optimized geometry

a b c (Å): 7.005 7.005 7.005
angles (deg): 28.13 28.13 28.13
Atoms (fractional coordinates):
1 Bi 0.000 0.000 0.000
2 W 0.500 0.500 0.500
3 O 0.119 0.119 0.119
4 O 0.881 0.881 0.881

- Space group: No. 166
- Raw total energy: -6.493 eV per atom

***

No. 2
Bi2W2O | PBE+U | optimized geometry

a b c (Å): 6.062 6.062 5.933
angles (deg): 90.00 90.00 90.00
Atoms (fractional coordinates):
1 Bi 0.197 0.303 0.000
2 Bi 0.303 0.803 0.000
3 Bi 0.697 0.197 0.000
4 Bi 0.803 0.697 0.000
5 W 0.186 0.686 0.500
6 W 0.314 0.186 0.500
7 W 0.686 0.814 0.500
8 W 0.814 0.314 0.500
9 O 0.000 0.000 0.500
10 O 0.500 0.500 0.500

- Space group: No. 127
- Energy above the most stable polymorph in this dataset: 0.0000 eV/atom